KRbSr2Ag | PBE-GGA | optimized geometry

Unit cell a=6.3695 b=6.3695 c=7.0119 alpha=90.00 beta=90.00 gamma=90.00
Closest atoms and distances in Å follow each position.
Atoms (fractional coordinates):
Sr 0.0000 0.5000 0.0000  2 Ag 3.18
Sr 0.5000 0.0000 0.0000  2 Ag 3.18
K 0.5000 0.5000 0.5000  4 Rb 4.50, 8 Sr 4.74
Rb 0.0000 0.0000 0.5000  2 Ag 3.51
Ag 0.0000 0.0000 0.0000  4 Sr 3.18, 2 Rb 3.51

As for the energy relative to the elements: 0.024 eV per atom. The value obtained for the total magnetization is 0.00 μB/f.u. Its calculated volume is 56.9 A^3/atom.